VASP calculation (GGA-PBE) on crystalline SrLa2Y at its relaxed geometry. Values from VASP.

Cell and atoms, written as Quantum ESPRESSO input:
```
&SYSTEM
  ibrav = 0, nat = 12, ntyp = 3
/
ATOMIC_SPECIES
Sr 87.62 Sr.upf
La 138.91 La.upf
Y 88.91 Y.upf
CELL_PARAMETERS angstrom
3.775 0.000 0.000
-1.888 3.269 0.000
0.000 0.000 37.707
ATOMIC_POSITIONS crystal
Sr 0.000 0.000 0.000
Sr 0.333 0.667 0.667
Sr 0.667 0.333 0.333
La 0.000 0.000 0.243
La 0.000 0.000 0.757
La 0.333 0.667 0.423
La 0.333 0.667 0.910
La 0.667 0.333 0.090
La 0.667 0.333 0.577
Y 0.000 0.000 0.500
Y 0.333 0.667 0.167
Y 0.667 0.333 0.833
```

## Properties
As for the symmetry: No. 166. The value obtained for the total energy is -4.424 eV per atom. As for the crystal system: trigonal. The density of states at the Fermi level comes out at 4.7 states/eV/f.u. Its formation energy is 0.076 eV per atom. The value obtained for the energy above the most stable polymorph in this dataset is 0.000 eV/atom.